Entry from Alexandria: crystalline BaFeNi2 at its relaxed geometry (PBE-GGA).

## Properties
energy of formation: 1.44 eV per formula unit
N(E_F): 4.51 states/eV/f.u.
energy above the lowest structure with this stoichiometry: 0.2751 eV/atom
SG: I4_1/amd (141)

a b c (Å): 8.558 8.558 8.558
angles (deg): 147.06 147.06 47.28
Fractional positions:
Ba  0.375  0.625  0.750
Ba  0.625  0.375  0.250
Fe  0.125  0.875  0.250
Fe  0.875  0.125  0.750
Ni  0.000  0.000  0.000
Ni  0.000  0.000  0.500
Ni  0.000  0.500  0.000
Ni  0.500  0.000  0.500


Entry from Alexandria: crystalline BaFe2Ni at its relaxed geometry (PBE-GGA).

## Properties
energy of formation: 2.39 eV per formula unit
N(E_F): 3.98 states/eV/f.u.
SG: P2/m (10)

a b c (Å): 4.099 4.019 5.701
angles (deg): 90.00 106.59 90.00
Fractional positions:
Ba  0.000  0.000  0.000
Fe  0.287  0.500  0.612
Fe  0.713  0.500  0.388
Ni  0.500  0.000  0.500


Entry from Alexandria: crystalline BaFe2Ni at its relaxed geometry (PBE-GGA).

## Properties
energy of formation: 1.15 eV per formula unit
N(E_F): 5.69 states/eV/f.u.
SG: Cm (8)

a b c (Å): 4.146 4.146 6.202
angles (deg): 109.56 109.56 60.06
Fractional positions:
Ba  0.000  0.000  0.000
Fe  0.190  0.190  0.570
Fe  0.493  0.493  0.476
Ni  0.817  0.817  0.450


Entry from Alexandria: crystalline BaFeNi2 at its relaxed geometry (PBE-GGA).

## Properties
energy of formation: 3.10 eV per formula unit
N(E_F): 3.75 states/eV/f.u.
energy above the lowest structure with this stoichiometry: 0.6887 eV/atom
SG: P4/mmm (123)

a b c (Å): 4.693 4.693 3.304
angles (deg): 90.00 90.00 90.00
Fractional positions:
Ba  0.000  0.000  0.000
Fe  0.500  0.500  0.000
Ni  0.000  0.500  0.500
Ni  0.500  0.000  0.500


Entry from Alexandria: crystalline Ba2FeNi at its relaxed geometry (PBE-GGA).

## Properties
energy of formation: 2.87 eV per formula unit
N(E_F): 5.07 states/eV/f.u.
energy above the lowest structure with this stoichiometry: 0.4166 eV/atom
SG: R-3m (166)

a b c (Å): 8.590 8.590 8.590
angles (deg): 29.26 29.26 29.26
Fractional positions:
Ba  0.242  0.242  0.242
Ba  0.758  0.758  0.758
Fe  0.000  0.000  0.000
Ni  0.500  0.500  0.500


Entry from Alexandria: crystalline Ba2FeNi at its relaxed geometry (PBE-GGA).

## Properties
energy of formation: 1.74 eV per formula unit
N(E_F): 4.97 states/eV/f.u.
energy above the lowest structure with this stoichiometry: 0.1346 eV/atom
SG: P4mm (99)

a b c (Å): 3.525 3.525 9.384
angles (deg): 90.00 90.00 90.00
Fractional positions:
Ba  0.000  0.000  0.000
Ba  0.500  0.500  0.425
Fe  0.000  0.000  0.689
Ni  0.500  0.500  0.737


Entry from Alexandria: crystalline BaFe2Ni at its relaxed geometry (PBE-GGA).

## Properties
energy of formation: 2.29 eV per formula unit
N(E_F): 4.88 states/eV/f.u.
SG: I4_1/amd (141)

a b c (Å): 8.827 8.827 8.827
angles (deg): 148.44 148.44 45.23
Fractional positions:
Ba  0.375  0.625  0.750
Ba  0.625  0.375  0.250
Fe  0.000  0.000  0.000
Fe  0.000  0.000  0.500
Fe  0.000  0.500  0.000
Fe  0.500  0.000  0.500
Ni  0.125  0.875  0.250
Ni  0.875  0.125  0.750


Entry from Alexandria: crystalline BaFe2Ni at its relaxed geometry (PBE-GGA).

## Properties
energy of formation: 3.23 eV per formula unit
N(E_F): 3.95 states/eV/f.u.
SG: Imm2 (44)

a b c (Å): 5.583 5.583 5.583
angles (deg): 147.65 122.98 67.10
Fractional positions:
Ba  0.000  0.000  0.000
Fe  0.304  0.804  0.500
Fe  0.502  0.502  0.000
Ni  0.705  0.205  0.500


Entry from Alexandria: crystalline BaFeNi2 at its relaxed geometry (PBE-GGA).

## Properties
energy of formation: 0.51 eV per formula unit
N(E_F): 5.18 states/eV/f.u.
energy above the lowest structure with this stoichiometry: 0.0410 eV/atom
SG: Cm (8)

a b c (Å): 4.148 4.148 6.062
angles (deg): 110.10 110.10 60.02
Fractional positions:
Ba  0.000  0.000  0.000
Fe  0.816  0.816  0.449
Ni  0.182  0.182  0.549
Ni  0.494  0.494  0.485


Entry from Alexandria: crystalline BaFe2Ni at its relaxed geometry (PBE-GGA).

## Properties
energy of formation: 4.27 eV per formula unit
N(E_F): 5.60 states/eV/f.u.
SG: Cmmm (65)

a b c (Å): 5.261 5.261 3.003
angles (deg): 90.00 90.00 118.80
Fractional positions:
Ba  0.000  0.000  0.000
Fe  0.000  0.500  0.500
Fe  0.500  0.000  0.500
Ni  0.500  0.500  0.000


Entry from Alexandria: crystalline Ba2FeNi at its relaxed geometry (PBE-GGA).

## Properties
energy of formation: 3.22 eV per formula unit
N(E_F): 4.58 states/eV/f.u.
energy above the lowest structure with this stoichiometry: 0.5044 eV/atom
SG: I-42d (122)

a b c (Å): 6.900 6.900 6.900
angles (deg): 104.12 104.12 120.80
Fractional positions:
Ba  0.093  0.625  0.968
Ba  0.375  0.343  0.468
Ba  0.657  0.125  0.032
Ba  0.875  0.907  0.532
Fe  0.250  0.750  0.500
Fe  0.500  0.500  0.000
Ni  0.000  0.000  0.000
Ni  0.750  0.250  0.500


Entry from Alexandria: crystalline BaFeNi2 at its relaxed geometry (PBE-GGA).

## Properties
energy of formation: 3.25 eV per formula unit
N(E_F): 4.12 states/eV/f.u.
energy above the lowest structure with this stoichiometry: 0.7262 eV/atom
SG: I-4m2 (119)

a b c (Å): 5.318 5.318 5.318
angles (deg): 135.50 135.50 64.75
Fractional positions:
Ba  0.000  0.000  0.000
Fe  0.250  0.750  0.500
Ni  0.500  0.500  0.000
Ni  0.750  0.250  0.500


Entry from Alexandria: crystalline BaFeNi2 at its relaxed geometry (PBE-GGA).

## Properties
energy of formation: 0.34 eV per formula unit
N(E_F): 4.03 states/eV/f.u.
energy above the lowest structure with this stoichiometry: 0.0000 eV/atom
SG: C2/m (12)

a b c (Å): 4.155 4.155 6.039
angles (deg): 110.24 110.24 60.00
Fractional positions:
Ba  0.000  0.000  0.000
Fe  0.500  0.500  0.500
Ni  0.185  0.185  0.555
Ni  0.815  0.815  0.445


Entry from Alexandria: crystalline Ba2FeNi at its relaxed geometry (PBE-GGA).

## Properties
energy of formation: 2.92 eV per formula unit
N(E_F): 6.14 states/eV/f.u.
energy above the lowest structure with this stoichiometry: 0.4278 eV/atom
SG: I-4m2 (119)

a b c (Å): 6.502 6.502 6.502
angles (deg): 139.50 139.50 58.61
Fractional positions:
Ba  0.000  0.000  0.000
Ba  0.750  0.250  0.500
Fe  0.250  0.750  0.500
Ni  0.500  0.500  0.000


Entry from Alexandria: crystalline BaFe2Ni at its relaxed geometry (PBE-GGA).

## Properties
energy of formation: 3.12 eV per formula unit
N(E_F): 4.99 states/eV/f.u.
SG: Immm (71)

a b c (Å): 5.783 5.783 5.783
angles (deg): 149.58 127.30 62.08
Fractional positions:
Ba  0.000  0.000  0.000
Fe  0.301  0.801  0.500
Fe  0.699  0.199  0.500
Ni  0.500  0.500  0.000


VASP energy per entry: -5.126; -5.561; -5.871; -4.713; -3.805; -4.087; -5.584; -5.350; -5.360; -5.090; -3.717; -4.675; -5.401; -3.793; -5.377 eV per atom